--- w ---
VASP calculation (PBE) on an optimized crystal structure of YNbN2F.

Results
**Space-group type**: P4/mmm
**DOS(E_F)**: 2.334 states/eV/cell

Unit cell a=4.1471 b=4.1471 c=3.9961 alpha=90.00 beta=90.00 gamma=90.00
With the nearest neighbours (Å) after each atom.
Fractional coordinates of all 5 atoms:
1 N 0.5000 0.0000 0.0000  2 Nb 2.07
2 N 0.0000 0.5000 0.0000  2 Nb 2.07
3 Nb 0.0000 0.0000 0.0000  2 F 2.00, 4 N 2.07
4 F 0.0000 0.0000 0.5000  2 Nb 2.00
5 Y 0.5000 0.5000 0.5000  8 N 2.88, 4 F 2.93

***

--- x ---
VASP calculation (PBE) on an optimized crystal structure of YNbN2F.

Results
**Space-group type**: P4/mmm
**DOS(E_F)**: 3.787 states/eV/cell

Unit cell a=4.4550 b=4.4550 c=4.0676 alpha=90.00 beta=90.00 gamma=90.00
With the nearest neighbours (Å) after each atom.
Fractional coordinates of all 5 atoms:
1 N 0.5000 0.0000 0.0000  2 Y 2.23
2 N 0.0000 0.5000 0.0000  2 Y 2.23
3 F 0.0000 0.0000 0.5000  2 Y 2.03
4 Nb 0.5000 0.5000 0.5000  8 N 3.02, 4 F 3.15
5 Y 0.0000 0.0000 0.0000  2 F 2.03, 4 N 2.23

***

Relative to the most stable structure, the computed energies are w 0; x 1230, all in meV per atom.

***

--- w ---
VASP calculation (PBE) on an optimized crystal structure of ZrNbNF2.

Results
**Space-group type**: P4/mmm
**DOS(E_F)**: 4.156 states/eV/cell

Unit cell a=4.1725 b=4.1725 c=4.1592 alpha=90.00 beta=90.00 gamma=90.00
With the nearest neighbours (Å) after each atom.
Fractional coordinates of all 5 atoms:
1 N 0.0000 0.0000 0.5000  2 Nb 2.08
2 F 0.5000 0.0000 0.0000  2 Nb 2.09
3 F 0.0000 0.5000 0.0000  2 Nb 2.09
4 Zr 0.5000 0.5000 0.5000  8 F 2.95, 4 N 2.95
5 Nb 0.0000 0.0000 0.0000  2 N 2.08, 4 F 2.09

***

--- x ---
VASP calculation (PBE) on an optimized crystal structure of ZrNbNF2.

Results
**Space-group type**: P4/mmm
**DOS(E_F)**: 3.229 states/eV/cell

Unit cell a=4.1857 b=4.1857 c=4.3639 alpha=90.00 beta=90.00 gamma=90.00
With the nearest neighbours (Å) after each atom.
Fractional coordinates of all 5 atoms:
1 F 0.0000 0.5000 0.0000  2 Zr 2.09
2 F 0.5000 0.0000 0.0000  2 Zr 2.09
3 Nb 0.5000 0.5000 0.5000  4 N 2.96, 8 F 3.02
4 Zr 0.0000 0.0000 0.0000  4 F 2.09, 2 N 2.18
5 N 0.0000 0.0000 0.5000  2 Zr 2.18

***

Relative to the most stable structure, the computed energies are w 107; x 0, all in meV per atom.